The following is a PBE with a Hubbard U calculation of a relaxed PuMgCo2O8 crystal, from Alexandria via LeMat-Bulk.

Cell and atoms, written as POSCAR:
```
PuMgCo2O8
1.0
-3.306 3.306 3.320
3.306 -3.306 3.320
3.306 3.306 -3.320
Pu Mg Co O
1 1 2 8
direct
0.000 0.000 0.000 Pu
0.250 0.750 0.500 Mg
0.500 0.500 0.000 Co
0.750 0.250 0.500 Co
0.318 0.135 0.818 O
0.318 0.500 0.182 O
0.337 0.041 0.296 O
0.500 0.682 0.818 O
0.745 0.041 0.704 O
0.865 0.682 0.182 O
0.959 0.255 0.296 O
0.959 0.663 0.704 O
```

Fermi-level density of states = 0.088 states/eV/atom
ρ = 5.88 g cm⁻³
DFT total energy = -0.254 hartree per atom
space group = I-4m2